Record 1
{
  "formula": "NdPaP2",
  "functional": "PBE",
  "state": "relaxed",
  "lattice_angstrom": [[-3.125, 0.807, -2.452], [-1.581, -2.937, -2.303], [-5.802, -2.261, 3.297]],
  "species": ["Nd", "Pa", "P", "P"],
  "frac_coords": [[0.500, 0.500, 0.500], [0.000, 0.000, 0.000], [0.744, 0.744, 0.767], [0.256, 0.256, 0.233]],
  "sg": "No. 166",
  "relative_energy_mev_per_atom": 0
}

Record 2
{
  "formula": "NdPaP2",
  "functional": "PBE",
  "state": "relaxed",
  "lattice_angstrom": [[-1.485, -2.747, -2.571], [3.967, 0.098, 0.786], [-1.793, -8.496, 10.115]],
  "species": ["Nd", "Nd", "Pa", "Pa", "P", "P", "P", "P"],
  "frac_coords": [[0.667, 0.333, 0.250], [0.333, 0.667, 0.750], [0.000, 0.000, 0.500], [0.000, 0.000, 0.000], [0.333, 0.667, 0.384], [0.667, 0.333, 0.884], [0.667, 0.333, 0.616], [0.333, 0.667, 0.116]],
  "sg": "No. 194",
  "relative_energy_mev_per_atom": 23
}

Record 3
{
  "formula": "NdPa4P5",
  "functional": "PBE",
  "state": "relaxed",
  "lattice_angstrom": [[-0.631, 3.896, 0.619], [-3.394, 0.543, 6.016], [6.303, 2.116, 6.001]],
  "species": ["Nd", "Pa", "Pa", "Pa", "Pa", "P", "P", "P", "P", "P"],
  "frac_coords": [[0.000, 0.000, 0.000], [0.597, 0.204, 0.601], [0.201, 0.393, 0.205], [0.799, 0.607, 0.795], [0.403, 0.796, 0.399], [0.201, 0.904, 0.694], [0.799, 0.096, 0.306], [0.393, 0.316, 0.898], [0.000, 0.500, 0.500], [0.607, 0.684, 0.102]],
  "sg": "No. 12"
}

Record 4
{
  "formula": "Nd4PaP6",
  "functional": "PBE",
  "state": "relaxed",
  "lattice_angstrom": [[-0.918, -7.633, -2.651], [6.308, 0.742, -5.079], [4.848, -2.425, 6.063]],
  "species": ["Nd", "Nd", "Nd", "Nd", "Nd", "Nd", "Nd", "Nd", "Pa", "Pa", "P", "P", "P", "P", "P", "P", "P", "P", "P", "P", "P", "P"],
  "frac_coords": [[0.375, 0.125, 0.250], [0.875, 0.250, 0.375], [0.250, 0.625, 0.125], [0.250, 0.250, 0.750], [0.750, 0.750, 0.250], [0.750, 0.375, 0.875], [0.125, 0.750, 0.625], [0.625, 0.875, 0.750], [0.500, 0.500, 0.500], [0.000, 0.000, 0.000], [0.687, 0.072, 0.089], [0.089, 0.313, 0.072], [0.589, 0.428, 0.187], [0.928, 0.089, 0.687], [0.572, 0.187, 0.589], [0.187, 0.411, 0.428], [0.813, 0.589, 0.572], [0.428, 0.813, 0.411], [0.072, 0.911, 0.313], [0.411, 0.572, 0.813], [0.911, 0.687, 0.928], [0.313, 0.928, 0.911]],
  "sg": "No. 167"
}

| no. | energy relative to the elements (meV per atom) |
| --- | --- |
| 1 | -1430 |
| 2 | -1407 |
| 3 | -1359 |
| 4 | -1194 |